## LaCu2 (PBE)

Data for crystalline LaCu2 at its relaxed geometry.

```
LaCu2
1.0
4.0265 0.0000 0.0000
0.0000 4.0265 0.0000
0.0000 0.0000 15.6615
La Cu
4 8
Direct
0.0000 0.2500 0.3750 La
0.0000 0.7500 0.6250 La
0.5000 0.2500 0.1250 La
0.5000 0.7500 0.8750 La
0.0000 0.2500 0.7946 Cu
0.0000 0.2500 0.9554 Cu
0.0000 0.7500 0.0446 Cu
0.0000 0.7500 0.2054 Cu
0.5000 0.2500 0.5446 Cu
0.5000 0.2500 0.7054 Cu
0.5000 0.7500 0.2946 Cu
0.5000 0.7500 0.4554 Cu
```

Values from the calculation:
ρ	6.96	g/cm³
E_form	-0.21	eV per atom
DOS(E_F)	1.76	states/eV/f.u.
space group	I4_1/amd (141)
raw total energy	-4.5818	eV per atom

=====

## Ce2Zn2Au3 (PBE)

Data for crystalline Ce2Zn2Au3 at its relaxed geometry.

```
Ce2Zn2Au3
1.0
2.0773 -9.8278 0.0000
2.0773 9.8278 0.0000
0.0000 0.0000 7.5854
Ce Zn Au
4 4 6
Direct
0.0595 0.9405 0.7500 Ce
0.1566 0.8434 0.2500 Ce
0.8434 0.1566 0.7500 Ce
0.9405 0.0595 0.2500 Ce
0.3078 0.6922 0.0567 Zn
0.3078 0.6922 0.4433 Zn
0.6922 0.3078 0.5567 Zn
0.6922 0.3078 0.9433 Zn
0.2269 0.7731 0.7500 Au
0.4344 0.5656 0.5605 Au
0.4344 0.5656 0.9395 Au
0.5656 0.4344 0.0605 Au
0.5656 0.4344 0.4395 Au
0.7731 0.2269 0.2500 Au
```

Values from the calculation:
relative energy among the computed polymorphs	0.0000	eV/atom
ρ	10.74	g/cm³
E_form	-0.55	eV per atom
DOS(E_F)	14.31	states/eV/f.u.
space group	Cmcm (63)
raw total energy	-4.0098	eV per atom

=====

## Pu2PaAs (PBE)

Data for crystalline Pu2PaAs at its relaxed geometry.

```
Pu2PaAs
1.0
3.8088 0.0000 0.0000
0.0000 3.8088 0.0000
0.0000 0.0000 6.2493
Pu Pa As
2 1 1
Direct
0.0000 0.0000 0.2314 Pu
0.0000 0.0000 0.7686 Pu
0.5000 0.5000 0.5000 Pa
0.5000 0.5000 0.0000 As
```

Values from the calculation:
relative energy among the computed polymorphs	0.0000	eV/atom
ρ	14.54	g/cm³
E_form	-0.41	eV per atom
DOS(E_F)	10.41	states/eV/f.u.
space group	P4/mmm (123)
raw total energy	-11.1089	eV per atom

=====

## KCoOs3 (PBE)

Data for crystalline KCoOs3 at its relaxed geometry.

```
KCoOs3
1.0
4.5162 0.0000 0.0000
0.0000 4.5162 0.0000
0.0000 0.0000 4.5162
K Co Os
1 1 3
Direct
0.0000 0.0000 0.0000 K
0.5000 0.5000 0.5000 Co
0.0000 0.0000 0.5000 Os
0.0000 0.5000 0.0000 Os
0.5000 0.0000 0.0000 Os
```

Values from the calculation:
relative energy among the computed polymorphs	2.0373	eV/atom
ρ	12.06	g/cm³
E_form	4.06	eV per atom
DOS(E_F)	8.23	states/eV/f.u.
space group	Pm-3m (221)
raw total energy	-4.3178	eV per atom

=====

## PuIn3Hg3 (PBE)

Data for crystalline PuIn3Hg3 at its relaxed geometry.

```
PuIn3Hg3
1.0
7.9041 0.0000 0.0000
0.0000 7.9041 0.0000
0.0000 0.0000 7.9041
Pu In Hg
2 6 6
Direct
0.0000 0.0000 0.0000 Pu
0.5000 0.5000 0.5000 Pu
0.0000 0.2500 0.5000 In
0.0000 0.7500 0.5000 In
0.2500 0.5000 0.0000 In
0.5000 0.0000 0.2500 In
0.5000 0.0000 0.7500 In
0.7500 0.5000 0.0000 In
0.0000 0.5000 0.2500 Hg
0.0000 0.5000 0.7500 Hg
0.2500 0.0000 0.5000 Hg
0.5000 0.2500 0.0000 Hg
0.5000 0.7500 0.0000 Hg
0.7500 0.0000 0.5000 Hg
```

Values from the calculation:
relative energy among the computed polymorphs	0.4071	eV/atom
ρ	8.00	g/cm³
E_form	0.38	eV per atom
DOS(E_F)	23.01	states/eV/f.u.
space group	Pm-3n (223)
raw total energy	-2.9725	eV per atom

=====

## SbTe2Pd9 (PBE)

Data for crystalline SbTe2Pd9 at its relaxed geometry.

```
SbTe2Pd9
1.0
4.0567 0.0000 0.0000
0.0000 4.0567 0.0000
0.0000 0.0000 12.4573
Sb Te Pd
1 2 9
Direct
0.0000 0.0000 0.0000 Sb
0.0000 0.0000 0.3406 Te
0.0000 0.0000 0.6594 Te
0.0000 0.5000 0.1578 Pd
0.0000 0.5000 0.5000 Pd
0.0000 0.5000 0.8422 Pd
0.5000 0.0000 0.1578 Pd
0.5000 0.0000 0.5000 Pd
0.5000 0.0000 0.8422 Pd
0.5000 0.5000 0.0000 Pd
0.5000 0.5000 0.3209 Pd
0.5000 0.5000 0.6791 Pd
```

Values from the calculation:
ρ	10.81	g/cm³
formation energy from raw total energies	-0.24	eV per atom
DOS(E_F)	10.33	states/eV/f.u.
space group	P4/mmm (123)
raw total energy	-4.9970	eV per atom

=====

## ZrInTc3 (PBE)

Data for crystalline ZrInTc3 at its relaxed geometry.

```
ZrInTc3
1.0
4.8023 0.0000 0.0000
0.0000 4.8023 0.0000
0.0000 0.0000 4.8023
Zr In Tc
1 1 3
Direct
0.0000 0.0000 0.0000 Zr
0.5000 0.5000 0.5000 In
0.0000 0.5000 0.5000 Tc
0.5000 0.0000 0.5000 Tc
0.5000 0.5000 0.0000 Tc
```

Values from the calculation:
relative energy among the computed polymorphs	0.1789	eV/atom
ρ	7.50	g/cm³
E_form	1.86	eV per atom
DOS(E_F)	6.72	states/eV/f.u.
space group	Pm-3m (221)
raw total energy	-6.6121	eV per atom

=====

## BaIn2Br6 (PBE)

Data for crystalline BaIn2Br6 at its relaxed geometry.

```
BaIn2Br6
1.0
3.9362 2.2726 6.0892
-3.9362 2.2726 6.0892
0.0000 -4.5451 6.0892
Ba In Br
1 2 6
Direct
0.0000 0.0000 0.0000 Ba
0.5421 0.5421 0.5421 In
0.7720 0.7720 0.7720 In
0.0907 0.5467 0.9379 Br
0.4451 0.9957 0.6169 Br
0.5467 0.9379 0.0907 Br
0.6169 0.4451 0.9957 Br
0.9379 0.0907 0.5467 Br
0.9957 0.6169 0.4451 Br
```

Values from the calculation:
relative energy among the computed polymorphs	0.0000	eV/atom
ρ	4.30	g/cm³
formation energy from raw total energies	-1.22	eV per atom
DOS(E_F)	0.00	states/eV/f.u.
space group	R3 (146)
raw total energy	-3.1613	eV per atom